K3Br | GGA-PBE | optimized geometry

## Properties
Formation energy (no corrections)   -0.755 eV per atom
Final energy   -7.99 eV per formula unit

POSCAR file:
```
K3Br
1.0
-2.177 2.488 10.164
2.177 -2.488 10.164
2.177 2.488 -10.164
K Br
3 1
Cartesian
0.000 0.000 0.000
2.177 0.000 6.679
0.000 2.488 3.484
0.000 0.000 10.164
```